First-principles (GGA-PBE) data for a geometry-optimized AcCuRh structure, as listed in the Alexandria database.

Values from the calculation:
Relative energy among the computed polymorphs   0.04 eV per formula unit
E_form   -0.419 eV/atom
Symmetry   I4/mmm (139)

Cell: 7.439 7.439 7.439 Å, 144.73 144.73 50.74°
Fractional coordinates of all 6 atoms:
Ac1 0.149 0.149 0.000
Ac2 0.851 0.851 0.000
Cu1 0.400 0.400 0.000
Cu2 0.600 0.600 0.000
Rh1 0.000 0.500 0.500
Rh2 0.500 0.000 0.500

***

First-principles (GGA-PBE) data for a geometry-optimized AcCuRh structure, as listed in the Alexandria database.

Values from the calculation:
Relative energy among the computed polymorphs   0.00 eV per formula unit
E_form   -0.434 eV/atom
Symmetry   P6_3/mmc (194)

Cell: 4.350 4.350 8.355 Å, 90.00 90.00 120.00°
Fractional coordinates of all 6 atoms:
Ac1 0.000 0.000 0.000
Ac2 0.000 0.000 0.500
Cu1 0.333 0.667 0.250
Cu2 0.667 0.333 0.750
Rh1 0.333 0.667 0.750
Rh2 0.667 0.333 0.250

***

First-principles (GGA-PBE) data for a geometry-optimized Ac4CuRh2 structure, as listed in the Alexandria database.

Values from the calculation:
E_form   -0.457 eV/atom
Symmetry   C2/m (12)

Cell: 8.338 8.338 7.569 Å, 116.83 116.83 30.54°
Fractional coordinates of all 7 atoms:
Ac1 0.136 0.136 0.472
Ac2 0.363 0.363 0.032
Ac3 0.637 0.637 0.968
Ac4 0.864 0.864 0.528
Cu1 0.500 0.500 0.500
Rh1 0.248 0.248 0.246
Rh2 0.752 0.752 0.754

***

First-principles (GGA-PBE) data for a geometry-optimized Ac3CuRh3 structure, as listed in the Alexandria database.

Values from the calculation:
E_form   -0.552 eV/atom
Symmetry   Imm2 (44)

Cell: 10.133 10.133 10.133 Å, 155.98 155.59 34.51°
Fractional coordinates of all 7 atoms:
Ac1 0.000 0.000 0.000
Ac2 0.367 0.367 0.000
Ac3 0.677 0.177 0.500
Cu1 0.251 0.751 0.500
Rh1 0.122 0.622 0.500
Rh2 0.531 0.531 0.000
Rh3 0.829 0.829 0.000

***

First-principles (GGA-PBE) data for a geometry-optimized AcCu2Rh3 structure, as listed in the Alexandria database.

Values from the calculation:
Relative energy among the computed polymorphs   0.00 eV per formula unit
E_form   -0.320 eV/atom
Symmetry   P6/mmm (191)

Cell: 5.442 5.442 4.099 Å, 90.00 90.00 120.00°
Fractional coordinates of all 6 atoms:
Ac1 0.000 0.000 0.000
Cu1 0.333 0.667 0.000
Cu2 0.667 0.333 0.000
Rh1 0.000 0.500 0.500
Rh2 0.500 0.000 0.500
Rh3 0.500 0.500 0.500

***

First-principles (GGA-PBE) data for a geometry-optimized AcCu2Rh structure, as listed in the Alexandria database.

Values from the calculation:
Relative energy among the computed polymorphs   0.33 eV per formula unit
E_form   -0.213 eV/atom
Symmetry   Immm (71)

Cell: 10.055 10.055 10.055 Å, 156.06 125.42 60.43°
Fractional coordinates of all 16 atoms:
Ac1 0.207 0.207 0.000
Ac2 0.261 0.000 0.261
Ac3 0.739 0.000 0.739
Ac4 0.793 0.793 0.000
Cu1 0.066 0.566 0.500
Cu2 0.196 0.828 0.368
Cu3 0.387 0.387 0.000
Cu4 0.461 0.828 0.632
Cu5 0.539 0.172 0.368
Cu6 0.613 0.613 0.000
Cu7 0.804 0.172 0.632
Cu8 0.934 0.434 0.500
Rh1 0.086 0.360 0.726
Rh2 0.366 0.640 0.726
Rh3 0.634 0.360 0.274
Rh4 0.914 0.640 0.274

***

First-principles (GGA-PBE) data for a geometry-optimized AcCu2Rh3 structure, as listed in the Alexandria database.

Values from the calculation:
Relative energy among the computed polymorphs   2.01 eV per formula unit
E_form   0.015 eV/atom
Symmetry   I4/mmm (139)

Cell: 14.562 14.562 14.562 Å, 164.57 164.57 21.89°
Fractional coordinates of all 12 atoms:
Ac1 0.149 0.149 0.000
Ac2 0.851 0.851 0.000
Cu1 0.250 0.750 0.500
Cu2 0.400 0.400 0.000
Cu3 0.600 0.600 0.000
Cu4 0.750 0.250 0.500
Rh1 0.043 0.543 0.500
Rh2 0.310 0.310 0.000
Rh3 0.457 0.957 0.500
Rh4 0.543 0.043 0.500
Rh5 0.690 0.690 0.000
Rh6 0.957 0.457 0.500

***

First-principles (GGA-PBE) data for a geometry-optimized Ac2Cu3Rh2 structure, as listed in the Alexandria database.

Values from the calculation:
E_form   -0.330 eV/atom
Symmetry   C2/m (12)

Cell: 5.812 5.812 6.549 Å, 102.64 102.64 43.50°
Fractional coordinates of all 7 atoms:
Ac1 0.167 0.167 0.237
Ac2 0.833 0.833 0.763
Cu1 0.432 0.432 0.120
Cu2 0.500 0.500 0.500
Cu3 0.568 0.568 0.880
Rh1 0.111 0.111 0.689
Rh2 0.889 0.889 0.311

***

First-principles (GGA-PBE) data for a geometry-optimized Ac4Cu3Rh structure, as listed in the Alexandria database.

Values from the calculation:
E_form   -0.287 eV/atom
Symmetry   Pmm2 (25)

Cell: 4.193 4.631 11.427 Å, 90.00 90.00 90.00°
Fractional coordinates of all 8 atoms:
Ac1 0.000 0.000 0.000
Ac2 0.000 0.500 0.266
Ac3 0.500 0.000 0.484
Ac4 0.500 0.500 0.770
Cu1 0.000 0.000 0.690
Cu2 0.000 0.500 0.566
Cu3 0.500 0.500 0.062
Rh1 0.500 0.000 0.213

***

First-principles (GGA-PBE) data for a geometry-optimized Ac3Cu4Rh2 structure, as listed in the Alexandria database.

Values from the calculation:
E_form   -0.371 eV/atom
Symmetry   C2/m (12)

Cell: 6.056 6.056 8.664 Å, 104.20 104.20 42.07°
Fractional coordinates of all 9 atoms:
Ac1 0.000 0.000 0.000
Ac2 0.326 0.326 0.342
Ac3 0.674 0.674 0.658
Cu1 0.047 0.047 0.386
Cu2 0.276 0.276 0.947
Cu3 0.724 0.724 0.053
Cu4 0.953 0.953 0.614
Rh1 0.389 0.389 0.728
Rh2 0.611 0.611 0.272

***

First-principles (GGA-PBE) data for a geometry-optimized Ac6CuRh3 structure, as listed in the Alexandria database.

Values from the calculation:
E_form   -0.493 eV/atom
Symmetry   P2_1/m (11)

Cell: 12.472 4.355 13.289 Å, 90.00 112.35 90.00°
Fractional coordinates of all 20 atoms:
Ac1 0.047 0.250 0.396
Ac2 0.095 0.750 0.932
Ac3 0.248 0.250 0.772
Ac4 0.248 0.750 0.265
Ac5 0.405 0.250 0.562
Ac6 0.435 0.250 0.103
Ac7 0.565 0.750 0.897
Ac8 0.595 0.750 0.438
Ac9 0.752 0.250 0.735
Ac10 0.752 0.750 0.228
Ac11 0.905 0.250 0.068
Ac12 0.953 0.750 0.604
Cu1 0.202 0.750 0.571
Cu2 0.798 0.250 0.429
Rh1 0.005 0.250 0.770
Rh2 0.335 0.750 0.938
Rh3 0.419 0.250 0.339
Rh4 0.581 0.750 0.661
Rh5 0.665 0.250 0.062
Rh6 0.995 0.750 0.230

***

First-principles (GGA-PBE) data for a geometry-optimized Ac3CuRh2 structure, as listed in the Alexandria database.

Values from the calculation:
E_form   -0.510 eV/atom
Symmetry   R-3c (167)

Cell: 7.460 7.460 7.460 Å, 67.45 67.45 67.45°
Fractional coordinates of all 12 atoms:
Ac1 0.062 0.750 0.438
Ac2 0.250 0.562 0.938
Ac3 0.438 0.062 0.750
Ac4 0.562 0.938 0.250
Ac5 0.750 0.438 0.062
Ac6 0.938 0.250 0.562
Cu1 0.000 0.000 0.000
Cu2 0.500 0.500 0.500
Rh1 0.155 0.155 0.155
Rh2 0.345 0.345 0.345
Rh3 0.655 0.655 0.655
Rh4 0.845 0.845 0.845

***

First-principles (GGA-PBE) data for a geometry-optimized AcCu4Rh structure, as listed in the Alexandria database.

Values from the calculation:
Relative energy among the computed polymorphs   0.00 eV per formula unit
E_form   -0.098 eV/atom
Symmetry   F-43m (216)

Cell: 5.174 5.174 5.174 Å, 60.00 60.00 60.00°
Fractional coordinates of all 6 atoms:
Ac1 0.000 0.000 0.000
Cu1 0.132 0.623 0.623
Cu2 0.623 0.132 0.623
Cu3 0.623 0.623 0.132
Cu4 0.623 0.623 0.623
Rh1 0.250 0.250 0.250

***

First-principles (GGA-PBE) data for a geometry-optimized Ac4CuRh structure, as listed in the Alexandria database.

Values from the calculation:
E_form   -0.247 eV/atom
Symmetry   C2/c (15)

Cell: 9.373 9.373 7.439 Å, 105.61 105.61 124.31°
Fractional coordinates of all 12 atoms:
Ac1 0.032 0.430 0.234
Ac2 0.189 0.295 0.742
Ac3 0.295 0.189 0.242
Ac4 0.430 0.032 0.734
Ac5 0.570 0.968 0.266
Ac6 0.705 0.811 0.758
Ac7 0.811 0.705 0.258
Ac8 0.968 0.570 0.766
Cu1 0.418 0.582 0.250
Cu2 0.582 0.418 0.750
Rh1 0.075 0.925 0.750
Rh2 0.925 0.075 0.250

***

First-principles (GGA-PBE) data for a geometry-optimized AcCu2Rh structure, as listed in the Alexandria database.

Values from the calculation:
Relative energy among the computed polymorphs   0.21 eV per formula unit
E_form   -0.244 eV/atom
Symmetry   R-3m (166)

Cell: 5.599 5.599 5.599 Å, 45.83 45.83 45.83°
Fractional coordinates of all 4 atoms:
Ac1 0.000 0.000 0.000
Cu1 0.197 0.197 0.197
Cu2 0.803 0.803 0.803
Rh1 0.500 0.500 0.500

***

First-principles (GGA-PBE) data for a geometry-optimized AcCu3Rh2 structure, as listed in the Alexandria database.

Values from the calculation:
E_form   -0.193 eV/atom
Symmetry   Cmcm (63)

Cell: 6.360 6.360 5.369 Å, 90.00 90.00 82.54°
Fractional coordinates of all 12 atoms:
Ac1 0.187 0.813 0.750
Ac2 0.813 0.187 0.250
Cu1 0.050 0.577 0.250
Cu2 0.423 0.950 0.250
Cu3 0.441 0.559 0.250
Cu4 0.559 0.441 0.750
Cu5 0.577 0.050 0.750
Cu6 0.950 0.423 0.750
Rh1 0.275 0.275 0.000
Rh2 0.275 0.275 0.500
Rh3 0.725 0.725 0.000
Rh4 0.725 0.725 0.500

***

First-principles (GGA-PBE) data for a geometry-optimized AcCuRh structure, as listed in the Alexandria database.

Values from the calculation:
Relative energy among the computed polymorphs   0.41 eV per formula unit
E_form   -0.297 eV/atom
Symmetry   Cmcm (63)

Cell: 8.595 8.595 4.127 Å, 90.00 90.00 153.37°
Fractional coordinates of all 6 atoms:
Ac1 0.101 0.899 0.750
Ac2 0.899 0.101 0.250
Cu1 0.250 0.750 0.250
Cu2 0.750 0.250 0.750
Rh1 0.355 0.645 0.750
Rh2 0.645 0.355 0.250

***

First-principles (GGA-PBE) data for a geometry-optimized Ac8CuRh4 structure, as listed in the Alexandria database.

Values from the calculation:
E_form   -0.440 eV/atom
Symmetry   Cm (8)

Cell: 10.794 10.794 14.622 Å, 131.74 131.74 23.52°
Fractional coordinates of all 13 atoms:
Ac1 0.000 0.000 0.000
Ac2 0.006 0.006 0.729
Ac3 0.300 0.300 0.934
Ac4 0.316 0.316 0.671
Ac5 0.356 0.356 0.395
Ac6 0.616 0.616 0.619
Ac7 0.699 0.699 0.055
Ac8 0.958 0.958 0.278
Cu1 0.804 0.804 0.496
Rh1 0.327 0.327 0.161
Rh2 0.510 0.510 0.874
Rh3 0.807 0.807 0.804
Rh4 0.991 0.991 0.509

***

First-principles (GGA-PBE) data for a geometry-optimized AcCu2Rh structure, as listed in the Alexandria database.

Values from the calculation:
Relative energy among the computed polymorphs   0.00 eV per formula unit
E_form   -0.295 eV/atom
Symmetry   Cm (8)

Cell: 4.317 4.317 5.644 Å, 112.27 112.27 59.95°
Fractional coordinates of all 4 atoms:
Ac1 0.000 0.000 0.000
Cu1 0.500 0.500 0.501
Cu2 0.805 0.805 0.416
Rh1 0.203 0.203 0.609

***

First-principles (GGA-PBE) data for a geometry-optimized Ac3Cu2Rh structure, as listed in the Alexandria database.

Values from the calculation:
E_form   -0.304 eV/atom
Symmetry   Pnma (62)

Cell: 12.570 4.316 12.622 Å, 90.00 90.00 90.00°
Fractional coordinates of all 24 atoms:
Ac1 0.056 0.250 0.130
Ac2 0.117 0.750 0.558
Ac3 0.221 0.250 0.804
Ac4 0.279 0.750 0.304
Ac5 0.383 0.250 0.058
Ac6 0.444 0.750 0.630
Ac7 0.556 0.250 0.370
Ac8 0.617 0.750 0.942
Ac9 0.721 0.250 0.696
Ac10 0.779 0.750 0.196
Ac11 0.883 0.250 0.442
Ac12 0.944 0.750 0.870
Cu1 0.021 0.750 0.313
Cu2 0.196 0.750 0.996
Cu3 0.304 0.250 0.496
Cu4 0.479 0.250 0.813
Cu5 0.521 0.750 0.187
Cu6 0.696 0.750 0.504
Cu7 0.804 0.250 0.004
Cu8 0.979 0.250 0.687
Rh1 0.125 0.250 0.374
Rh2 0.375 0.750 0.874
Rh3 0.625 0.250 0.126
Rh4 0.875 0.750 0.626

***

It is found that the Fermi-level density of states values, taken in the order of the records, are 1.66; 2.88; 3.97; 3.56; 6.71; 2.22; 6.91; 4.19; 6.70; 4.22; 6.09; 3.91; 2.68; 6.58; 2.35; 5.37; 1.77; 7.64; 2.71; 5.91 states/eV/f.u..
It is found that the V values, taken in the order of the records, are 22.76; 22.82; 33.76; 24.97; 17.52; 20.88; 18.22; 21.14; 27.73; 22.82; 33.37; 28.35; 16.32; 36.78; 20.58; 17.95; 22.77; 38.34; 20.46; 28.53 A^3/atom.